First-principles (PBE) data for a geometry-optimized ReAgMo2 structure, as listed in the Alexandria database.

Calculated values
V = 16.08 Å³ per atom
excess energy over the best structure of this formula in the dataset = 184.2 meV per atom
ΔE_f = 0.4870 eV/atom
electronic total energy = -8.7534 eV/atom

Unit cell a=5.1763 b=5.1763 c=5.1763 alpha=142.33 beta=129.75 gamma=64.46
Fractional coordinates of all 4 atoms:
Mo (0.5186, 0.5186, 0.0000)
Re (0.7500, 0.2500, 0.5000)
Ag (0.2500, 0.7500, 0.5000)
Mo (0.9814, 0.9814, 0.0000)

First-principles (PBE) data for a geometry-optimized ReAgMo2 structure, as listed in the Alexandria database.

Calculated values
V = 16.18 Å³ per atom
excess energy over the best structure of this formula in the dataset = 39.6 meV per atom
ΔE_f = 0.3424 eV/atom
electronic total energy = -8.8980 eV/atom

Unit cell a=2.7765 b=2.7765 c=8.3950 alpha=90.00 beta=90.00 gamma=90.00
Fractional coordinates of all 4 atoms:
Ag (0.5000, 0.5000, 0.7500)
Mo (0.0000, 0.0000, 0.4797)
Re (0.5000, 0.5000, 0.2500)
Mo (0.0000, 0.0000, 0.0203)

First-principles (PBE) data for a geometry-optimized Re3AgMo structure, as listed in the Alexandria database.

Calculated values
V = 20.94 Å³ per atom
excess energy over the best structure of this formula in the dataset = 0.0 meV per atom
ΔE_f = 2.2564 eV/atom
electronic total energy = -7.9490 eV/atom

Unit cell a=4.7131 b=4.7131 c=4.7131 alpha=90.00 beta=90.00 gamma=90.00
Fractional coordinates of all 5 atoms:
Re (0.0000, 0.5000, 0.0000)
Ag (0.5000, 0.5000, 0.5000)
Mo (0.0000, 0.0000, 0.0000)
Re (0.0000, 0.0000, 0.5000)
Re (0.5000, 0.0000, 0.0000)